8
Lattice="6.5597 0.0000 0.0000 0.0000 3.4457 0.0000 -2.9051 0.0000 7.0330" Properties=species:S:1:pos:R:3 comment="HRhPb2 | Alexandria | PBE-GGA | optimized geometry" total_energy_ev_per_atom=-4.559 spacegroup="P2_1/m, No. 11" pbc="T T T"
H -0.6307 0.8614 3.3745
H 4.2854 2.5843 3.6584
Rh -0.3405 2.5843 3.8999
Rh 3.9952 0.8614 3.1330
Pb -1.5864 0.8614 5.9548
Pb 1.9190 2.5843 2.0514
Pb 1.7356 0.8614 4.9815
Pb 5.2411 2.5843 1.0782